one | Here is crystalline RbVAu3 at its relaxed geometry from Alexandria via LeMat-Bulk. Energies are from PBE-GGA.

**M_tot**: 3.00 μB per cell

Lattice parameters (Å, degrees): 5.7506 5.7506 5.7506 90.00 90.00 90.00
Closest atoms and distances in Å follow each position.
Fractional coordinates of all 5 atoms:
Au 0.0000 0.5000 0.0000  2 Rb 2.88
Au 0.5000 0.0000 0.0000  2 Rb 2.88
Rb 0.0000 0.0000 0.0000  6 Au 2.88
Au 0.0000 0.0000 0.5000  2 Rb 2.88
V 0.5000 0.5000 0.5000  12 Au 4.07

***

two | Here is crystalline RbVAu3 at its relaxed geometry from Alexandria via LeMat-Bulk. Energies are from PBE-GGA.

**M_tot**: 2.92 μB per cell

Lattice parameters (Å, degrees): 5.1916 5.1916 5.1916 90.00 90.00 90.00
Closest atoms and distances in Å follow each position.
Fractional coordinates of all 5 atoms:
Au 0.5000 0.0000 0.0000  2 V 2.60
Au 0.0000 0.0000 0.5000  2 V 2.60
Au 0.0000 0.5000 0.0000  2 V 2.60
V 0.0000 0.0000 0.0000  6 Au 2.60
Rb 0.5000 0.5000 0.5000  12 Au 3.67

***

Here is how they stack up, most stable first: two, one.

***

one | Here is crystalline RbV2Au at its relaxed geometry from Alexandria via LeMat-Bulk. Energies are from PBE-GGA.

**M_tot**: 2.25 μB per cell

Lattice parameters (Å, degrees): 4.4627 4.4627 10.6774 77.94 77.94 90.00
Closest atoms and distances in Å follow each position.
Fractional coordinates of all 8 atoms:
Rb 0.5000 0.5000 0.0000  4 Au 3.16, 4 V 3.45
Au 0.7500 0.2500 0.5000  4 V 2.79
V 0.8750 0.0806 0.7500  2 V 2.27
Rb 0.2500 0.7500 0.5000  4 Au 3.16, 4 V 3.45
V 0.8306 0.1250 0.2500  2 V 2.27
V 0.3750 0.1694 0.7500  2 V 2.27
Au 0.0000 0.0000 0.0000  4 V 2.79
V 0.9194 0.6250 0.2500  2 V 2.27

***

two | Here is crystalline RbV2Au at its relaxed geometry from Alexandria via LeMat-Bulk. Energies are from PBE-GGA.

**M_tot**: 7.39 μB per cell

Lattice parameters (Å, degrees): 5.0269 5.0269 5.0269 60.00 60.00 60.00
Closest atoms and distances in Å follow each position.
Fractional coordinates of all 4 atoms:
Rb 0.0000 0.0000 0.0000  8 V 3.08
V 0.7500 0.7500 0.7500  4 Au 3.08, 4 Rb 3.08
V 0.2500 0.2500 0.2500  4 Au 3.08, 4 Rb 3.08
Au 0.5000 0.5000 0.5000  8 V 3.08

***

Here is how they stack up, most stable first: one, two.

***

one | Here is crystalline RbVAu2 at its relaxed geometry from Alexandria via LeMat-Bulk. Energies are from PBE-GGA.

**M_tot**: 7.60 μB per cell

Lattice parameters (Å, degrees): 8.1169 8.1169 6.8094 53.42 53.42 90.00
Closest atoms and distances in Å follow each position.
Fractional coordinates of all 8 atoms:
Rb 0.7500 0.2500 0.5000  8 Au 3.53-3.66, 2 V 3.66
V 0.5000 0.5000 0.0000  4 Au 2.59
V 0.2500 0.7500 0.5000  4 Au 2.59
Au 0.3750 0.4620 0.7500  2 V 2.59
Rb 0.0000 0.0000 0.0000  8 Au 3.53-3.66, 2 V 3.66
Au 0.5380 0.1250 0.2500  2 V 2.59
Au 0.8750 0.7880 0.7500  2 V 2.59
Au 0.2120 0.6250 0.2500  2 V 2.59

***

two | Here is crystalline RbVAu2 at its relaxed geometry from Alexandria via LeMat-Bulk. Energies are from PBE-GGA.

**M_tot**: 3.55 μB per cell

Lattice parameters (Å, degrees): 5.1583 5.1583 5.1583 60.00 60.00 60.00
Closest atoms and distances in Å follow each position.
Fractional coordinates of all 4 atoms:
Au 0.2500 0.2500 0.2500  4 Rb 3.16, 4 V 3.16
V 0.0000 0.0000 0.0000  8 Au 3.16
Rb 0.5000 0.5000 0.5000  8 Au 3.16
Au 0.7500 0.7500 0.7500  4 Rb 3.16, 4 V 3.16

***

Here is how they stack up, most stable first: one, two.

***

one | Here is crystalline RbWAu at its relaxed geometry from Alexandria via LeMat-Bulk. Energies are from PBE-GGA.

**M_tot**: 0.00 μB per cell

Lattice parameters (Å, degrees): 8.1962 4.2193 9.4233 90.00 90.00 90.00
Closest atoms and distances in Å follow each position.
Fractional coordinates of all 12 atoms:
Rb 0.0661 0.2500 0.8691  5 Au 3.13-3.37, 2 Rb 3.42
Rb 0.9339 0.7500 0.1309  5 Au 3.13-3.37, 2 Rb 3.42
Au 0.2628 0.7500 0.6942  2 W 2.71-2.82
Au 0.2372 0.2500 0.1942  2 W 2.71-2.82
Rb 0.4339 0.7500 0.3691  5 Au 3.13-3.37, 2 Rb 3.42
W 0.4672 0.7500 0.9349  2 W 2.50, 1 Au 2.71
W 0.0328 0.2500 0.4349  2 W 2.50, 1 Au 2.71
W 0.9672 0.7500 0.5651  2 W 2.50, 1 Au 2.71
Rb 0.5661 0.2500 0.6309  5 Au 3.13-3.37, 2 Rb 3.42
Au 0.7372 0.2500 0.3058  2 W 2.71-2.82
W 0.5328 0.2500 0.0651  2 W 2.50, 1 Au 2.71
Au 0.7628 0.7500 0.8058  2 W 2.71-2.82

***

two | Here is crystalline RbWAu at its relaxed geometry from Alexandria via LeMat-Bulk. Energies are from PBE-GGA.

**M_tot**: 0.00 μB per cell

Lattice parameters (Å, degrees): 13.3365 5.2542 4.9147 90.00 90.00 90.00
Closest atoms and distances in Å follow each position.
Fractional coordinates of all 12 atoms:
W 0.0025 0.7500 0.5012  2 W 2.63, 4 Au 2.78-2.79
W 0.9975 0.2500 0.4988  2 W 2.63, 4 Au 2.78-2.79
Rb 0.2341 0.7500 0.0502  2 Au 3.40, 2 W 3.59-3.80, 4 Rb 3.62
W 0.4975 0.2500 0.0012  2 W 2.63, 4 Au 2.78-2.79
Rb 0.2659 0.2500 0.5502  2 Au 3.40, 2 W 3.59-3.80, 4 Rb 3.62
W 0.5025 0.7500 0.9988  2 W 2.63, 4 Au 2.78-2.79
Rb 0.7341 0.7500 0.4498  2 Au 3.40, 2 W 3.59-3.80, 4 Rb 3.62
Au 0.5000 0.0000 0.5000  2 Au 2.63, 4 W 2.78-2.79
Au 0.0000 0.5000 0.0000  2 Au 2.63, 4 W 2.78-2.79
Au 0.0000 0.0000 0.0000  2 Au 2.63, 4 W 2.78-2.79
Rb 0.7659 0.2500 0.9498  2 Au 3.40, 2 W 3.59-3.80, 4 Rb 3.62
Au 0.5000 0.5000 0.5000  2 Au 2.63, 4 W 2.78-2.79

***

three | Here is crystalline RbWAu at its relaxed geometry from Alexandria via LeMat-Bulk. Energies are from PBE-GGA.

**M_tot**: 0.00 μB per cell

Lattice parameters (Å, degrees): 10.7497 3.1720 10.3041 90.00 90.00 90.00
Closest atoms and distances in Å follow each position.
Fractional coordinates of all 12 atoms:
Rb 0.3266 0.2500 0.0844  2 Rb 3.17, 3 Au 3.48-3.49
W 0.4654 0.2500 0.4200  2 W 2.40
Au 0.4098 0.2500 0.7578  2 W 2.77
Au 0.9098 0.2500 0.7422  2 W 2.77
Au 0.5902 0.7500 0.2422  2 W 2.77
W 0.0346 0.7500 0.9200  2 W 2.40
Rb 0.1734 0.7500 0.5844  2 Rb 3.17, 3 Au 3.48-3.49
Rb 0.6734 0.7500 0.9156  2 Rb 3.17, 3 Au 3.48-3.49
W 0.5346 0.7500 0.5800  2 W 2.40
Rb 0.8266 0.2500 0.4156  2 Rb 3.17, 3 Au 3.48-3.49
W 0.9654 0.2500 0.0800  2 W 2.40
Au 0.0902 0.7500 0.2578  2 W 2.77

***

Here is how they stack up, most stable first: three, two, one.

***

one | Here is crystalline RbW2Au at its relaxed geometry from Alexandria via LeMat-Bulk. Energies are from PBE-GGA.

**M_tot**: 0.00 μB per cell

Lattice parameters (Å, degrees): 4.8271 4.8271 10.4943 76.70 76.70 90.00
Closest atoms and distances in Å follow each position.
Fractional coordinates of all 8 atoms:
Au 0.7500 0.2500 0.5000  4 W 2.76
W 0.8556 0.1250 0.2500  2 W 2.42
Rb 0.2500 0.7500 0.5000  4 Au 3.41, 8 W 3.60-3.73
W 0.3750 0.1444 0.7500  2 W 2.42
W 0.8944 0.6250 0.2500  2 W 2.42
Au 0.0000 0.0000 0.0000  4 W 2.76
Rb 0.5000 0.5000 0.0000  4 Au 3.41, 8 W 3.60-3.73
W 0.8750 0.1056 0.7500  2 W 2.42

***

two | Here is crystalline RbW2Au at its relaxed geometry from Alexandria via LeMat-Bulk. Energies are from PBE-GGA.

**M_tot**: 0.00 μB per cell

Lattice parameters (Å, degrees): 4.7302 4.7302 4.7302 60.00 60.00 60.00
Closest atoms and distances in Å follow each position.
Fractional coordinates of all 4 atoms:
W 0.2500 0.2500 0.2500  4 Au 2.90, 4 Rb 2.90
Au 0.5000 0.5000 0.5000  8 W 2.90
Rb 0.0000 0.0000 0.0000  8 W 2.90
W 0.7500 0.7500 0.7500  4 Rb 2.90, 4 Au 2.90

***

Here is how they stack up, most stable first: one, two.

***

one | Here is crystalline RbWAu3 at its relaxed geometry from Alexandria via LeMat-Bulk. Energies are from PBE-GGA.

**M_tot**: 0.00 μB per cell

Lattice parameters (Å, degrees): 5.2001 5.2001 5.2001 90.00 90.00 90.00
Closest atoms and distances in Å follow each position.
Fractional coordinates of all 5 atoms:
Rb 0.5000 0.5000 0.5000  12 Au 3.68
W 0.0000 0.0000 0.0000  6 Au 2.60
Au 0.0000 0.0000 0.5000  2 W 2.60
Au 0.5000 0.0000 0.0000  2 W 2.60
Au 0.0000 0.5000 0.0000  2 W 2.60

***

two | Here is crystalline RbWAu3 at its relaxed geometry from Alexandria via LeMat-Bulk. Energies are from PBE-GGA.

**M_tot**: 3.99 μB per cell

Lattice parameters (Å, degrees): 5.5927 5.5927 5.5927 90.00 90.00 90.00
Closest atoms and distances in Å follow each position.
Fractional coordinates of all 5 atoms:
Au 0.0000 0.0000 0.5000  2 Rb 2.80
Au 0.0000 0.5000 0.0000  2 Rb 2.80
Rb 0.0000 0.0000 0.0000  6 Au 2.80
W 0.5000 0.5000 0.5000  12 Au 3.95
Au 0.5000 0.0000 0.0000  2 Rb 2.80

***

Here is how they stack up, most stable first: one, two.